Record 1
! PBE PBrO2, relaxed; values from VASP
! Formation energy without anion corrections   -2.9 eV per formula unit
! Energy above the most stable polymorph in this dataset   0.659 eV/atom
! Symmetry   Fd-3m
! Energy   -4.980 eV/atom
&SYSTEM
  ibrav = 0, nat = 8, ntyp = 3
/
ATOMIC_SPECIES
P 30.97 P.upf
Br 79.90 Br.upf
O 16.00 O.upf
CELL_PARAMETERS angstrom
0.0000 3.8291 3.8291
3.8291 0.0000 3.8291
3.8291 3.8291 0.0000
ATOMIC_POSITIONS angstrom
P 0.9573 0.9573 0.9573
P 6.7009 6.7009 6.7009
Br 2.8718 2.8718 2.8718
Br 4.7863 4.7863 4.7863
O 0.0000 0.0000 0.0000
O 1.9145 1.9145 0.0000
O 1.9145 0.0000 1.9145
O 0.0000 1.9145 1.9145

=====

Record 2
! PBE Tl2AgPd4, relaxed; values from VASP
! Energy above the most stable polymorph in this dataset   0.083 eV/atom
! Symmetry   I4/mmm
! Energy   -4.035 eV/atom
&SYSTEM
  ibrav = 0, nat = 14, ntyp = 3
/
ATOMIC_SPECIES
Tl 204.38 Tl.upf
Ag 107.87 Ag.upf
Pd 106.42 Pd.upf
CELL_PARAMETERS angstrom
3.8907 0.0000 0.0000
0.0000 3.8907 0.0000
0.0000 0.0000 18.7821
ATOMIC_POSITIONS angstrom
Tl 0.0000 0.0000 2.2091
Tl 0.0000 0.0000 16.5730
Tl 1.9453 1.9453 7.1819
Tl 1.9453 1.9453 11.6001
Ag 0.0000 0.0000 9.3910
Ag 1.9453 1.9453 0.0000
Pd 0.0000 0.0000 6.7027
Pd 0.0000 0.0000 12.0794
Pd 0.0000 1.9453 4.6955
Pd 0.0000 1.9453 14.0866
Pd 1.9453 0.0000 4.6955
Pd 1.9453 0.0000 14.0866
Pd 1.9453 1.9453 2.6883
Pd 1.9453 1.9453 16.0937

=====

Record 3
! PBE DyTlPbAu, relaxed; values from VASP
! Symmetry   F-43m
! Energy   -3.759 eV/atom
&SYSTEM
  ibrav = 0, nat = 16, ntyp = 4
/
ATOMIC_SPECIES
Dy 162.50 Dy.upf
Tl 204.38 Tl.upf
Pb 207.20 Pb.upf
Au 196.97 Au.upf
CELL_PARAMETERS angstrom
7.4280 0.0000 0.0000
0.0000 7.4280 0.0000
0.0000 0.0000 7.4280
ATOMIC_POSITIONS angstrom
Dy 0.0000 0.0000 0.0000
Dy 0.0000 3.7140 3.7140
Dy 3.7140 0.0000 3.7140
Dy 3.7140 3.7140 0.0000
Tl 1.8570 1.8570 1.8570
Tl 1.8570 5.5710 5.5710
Tl 5.5710 1.8570 5.5710
Tl 5.5710 5.5710 1.8570
Pb 0.0000 0.0000 3.7140
Pb 0.0000 3.7140 0.0000
Pb 3.7140 0.0000 0.0000
Pb 3.7140 3.7140 3.7140
Au 1.8570 1.8570 5.5710
Au 1.8570 5.5710 1.8570
Au 5.5710 1.8570 1.8570
Au 5.5710 5.5710 5.5710

=====

Record 4
! PBE Sc6Ir2O, relaxed; values from VASP
! Formation energy without anion corrections   -10.8 eV per formula unit
! Symmetry   P2_1/c
! Energy   -7.937 eV/atom
&SYSTEM
  ibrav = 0, nat = 18, ntyp = 3
/
ATOMIC_SPECIES
Sc 44.96 Sc.upf
Ir 192.22 Ir.upf
O 16.00 O.upf
CELL_PARAMETERS angstrom
6.1192 0.0000 0.0000
0.0000 6.4965 0.0000
-6.0384 0.0000 8.5207
ATOMIC_POSITIONS angstrom
Sc -1.8397 1.1955 3.8375
Sc -4.8589 2.0528 8.0979
Sc -1.1030 4.5094 3.8312
Sc -4.1222 5.2355 8.0915
Sc 0.5803 0.2022 2.1332
Sc -2.4389 3.0460 6.3935
Sc 2.5198 3.4505 2.1272
Sc -0.4994 6.2943 6.3875
Sc 4.2031 1.2611 0.4292
Sc 1.1839 1.9872 4.6895
Sc 4.9397 4.4438 0.4228
Sc 1.9205 5.3010 4.6832
Ir -3.1178 0.5141 6.3730
Ir -0.0987 2.7342 2.1127
Ir 0.1795 3.7623 6.4080
Ir 3.1987 5.9825 2.1477
O 0.0404 0.0000 4.2603
O 3.0596 3.2483 0.0000

=====

Record 5
! PBE Th3Al3Ag2, relaxed; values from VASP
! Symmetry   Cmcm
! Energy   -5.199 eV/atom
&SYSTEM
  ibrav = 0, nat = 16, ntyp = 3
/
ATOMIC_SPECIES
Th 232.04 Th.upf
Al 26.98 Al.upf
Ag 107.87 Ag.upf
CELL_PARAMETERS angstrom
2.2921 -5.4825 0.0000
2.2921 5.4825 0.0000
0.0000 0.0000 15.1754
ATOMIC_POSITIONS angstrom
Th 2.2921 4.5748 9.3419
Th 2.2921 4.5748 13.4212
Th 2.2921 1.5126 11.3815
Th 2.2921 -1.5126 3.7938
Th 2.2921 -4.5748 1.7542
Th 2.2921 -4.5748 5.8335
Al 2.2921 1.7097 3.7938
Al 2.2921 1.1986 8.1832
Al 2.2921 1.1986 14.5799
Al 2.2921 -1.1986 0.5955
Al 2.2921 -1.1986 6.9922
Al 2.2921 -1.7097 11.3815
Ag 2.2921 3.1638 1.4155
Ag 2.2921 3.1638 6.1722
Ag 2.2921 -3.1638 9.0032
Ag 2.2921 -3.1638 13.7599

=====

Record 6
! PBE La2SiP, relaxed; values from VASP
! Formation energy without anion corrections   -3.1 eV per formula unit
! Energy above the most stable polymorph in this dataset   0.378 eV/atom
! Symmetry   P4/mmm
! Energy   -5.952 eV/atom
&SYSTEM
  ibrav = 0, nat = 4, ntyp = 3
/
ATOMIC_SPECIES
La 138.91 La.upf
Si 28.09 Si.upf
P 30.97 P.upf
CELL_PARAMETERS angstrom
5.4320 0.0000 0.0000
0.0000 5.4320 0.0000
0.0000 0.0000 3.3094
ATOMIC_POSITIONS angstrom
La 0.0000 2.7160 0.0000
La 2.7160 0.0000 0.0000
Si 0.0000 0.0000 1.6547
P 2.7160 2.7160 1.6547

=====

| no. | M_tot (Bohr magnetons per cell) |
| --- | --- |
| 1 | 1.00 |
| 2 | 0.00 |
| 3 | 0.00 |
| 4 | 0.00 |
| 5 | 0.00 |
| 6 | 0.00 |